# 1
DFT (PBE) results for an optimized crystal structure of SmGdO2.

Computed properties:
- Space-group type: R-3m
- Crystal system: trigonal
- Raw formation energy: -2.813 eV per atom

a = 3.725 Å, b = 3.725 Å, c = 19.710 Å
α = 90.00°, β = 90.00°, γ = 120.00°
Fractional coordinates of all 12 atoms:
Sm1 0.000 0.000 0.000
Sm2 0.333 0.667 0.667
Sm3 0.667 0.333 0.333
Gd1 0.000 0.000 0.500
Gd2 0.333 0.667 0.167
Gd3 0.667 0.333 0.833
O1 0.000 0.000 0.387
O2 0.000 0.000 0.613
O3 0.333 0.667 0.054
O4 0.333 0.667 0.279
O5 0.667 0.333 0.721
O6 0.667 0.333 0.946

# 2
DFT (PBE) results for an optimized crystal structure of Gd2Sn2O7.

Computed properties:
- Space-group type: Fd-3m
- Crystal system: cubic
- Raw formation energy: -2.550 eV per atom

a = 7.485 Å, b = 7.485 Å, c = 7.485 Å
α = 60.00°, β = 60.00°, γ = 60.00°
Fractional coordinates of all 22 atoms:
Gd1 0.000 0.000 0.000
Gd2 0.000 0.000 0.500
Gd3 0.000 0.500 0.000
Gd4 0.500 0.000 0.000
Sn1 0.000 0.500 0.500
Sn2 0.500 0.000 0.500
Sn3 0.500 0.500 0.000
Sn4 0.500 0.500 0.500
O1 0.125 0.125 0.125
O2 0.163 0.163 0.587
O3 0.163 0.587 0.163
O4 0.163 0.587 0.587
O5 0.413 0.413 0.837
O6 0.413 0.837 0.413
O7 0.413 0.837 0.837
O8 0.587 0.163 0.163
O9 0.587 0.163 0.587
O10 0.587 0.587 0.163
O11 0.837 0.413 0.413
O12 0.837 0.413 0.837
O13 0.837 0.837 0.413
O14 0.875 0.875 0.875

# 3
DFT (PBE) results for an optimized crystal structure of GdSnO2.

Computed properties:
- Space-group type: R-3m
- Crystal system: trigonal
- Raw formation energy: -1.371 eV per atom

a = 3.727 Å, b = 3.727 Å, c = 19.575 Å
α = 90.00°, β = 90.00°, γ = 120.00°
Fractional coordinates of all 12 atoms:
Gd1 0.000 0.000 0.000
Gd2 0.333 0.667 0.667
Gd3 0.667 0.333 0.333
Sn1 0.000 0.000 0.500
Sn2 0.333 0.667 0.167
Sn3 0.667 0.333 0.833
O1 0.000 0.000 0.112
O2 0.000 0.000 0.888
O3 0.333 0.667 0.555
O4 0.333 0.667 0.779
O5 0.667 0.333 0.221
O6 0.667 0.333 0.445

# 4
DFT (PBE) results for an optimized crystal structure of Gd3Sn5O12.

Computed properties:
- Space-group type: Ia-3d
- Crystal system: cubic
- Raw formation energy: -1.992 eV per atom

a = 11.638 Å, b = 11.638 Å, c = 11.638 Å
α = 109.47°, β = 109.47°, γ = 109.47°
Fractional coordinates of all 80 atoms:
Gd1 0.125 0.250 0.375
Gd2 0.125 0.375 0.750
Gd3 0.250 0.375 0.125
Gd4 0.250 0.875 0.625
Gd5 0.375 0.125 0.250
Gd6 0.375 0.750 0.125
Gd7 0.625 0.250 0.875
Gd8 0.625 0.875 0.750
Gd9 0.750 0.125 0.375
Gd10 0.750 0.625 0.875
Gd11 0.875 0.625 0.250
Gd12 0.875 0.750 0.625
Sn1 0.000 0.000 0.000
Sn2 0.000 0.000 0.500
Sn3 0.000 0.500 0.000
Sn4 0.000 0.500 0.500
Sn5 0.125 0.750 0.875
Sn6 0.125 0.875 0.250
Sn7 0.250 0.125 0.875
Sn8 0.250 0.625 0.375
Sn9 0.375 0.250 0.625
Sn10 0.375 0.625 0.750
Sn11 0.500 0.000 0.000
Sn12 0.500 0.000 0.500
Sn13 0.500 0.500 0.000
Sn14 0.500 0.500 0.500
Sn15 0.625 0.375 0.250
Sn16 0.625 0.750 0.375
Sn17 0.750 0.375 0.625
Sn18 0.750 0.875 0.125
Sn19 0.875 0.125 0.750
Sn20 0.875 0.250 0.125
O1 0.043 0.207 0.129
O2 0.043 0.336 0.914
O3 0.078 0.707 0.664
O4 0.078 0.871 0.414
O5 0.086 0.629 0.422
O6 0.086 0.957 0.664
O7 0.129 0.043 0.207
O8 0.129 0.586 0.922
O9 0.164 0.207 0.578
O10 0.164 0.457 0.586
O11 0.207 0.129 0.043
O12 0.207 0.578 0.164
O13 0.293 0.336 0.922
O14 0.293 0.457 0.371
O15 0.336 0.914 0.043
O16 0.336 0.922 0.293
O17 0.371 0.293 0.457
O18 0.371 0.578 0.914
O19 0.414 0.078 0.871
O20 0.414 0.836 0.543
O21 0.422 0.086 0.629
O22 0.422 0.836 0.793
O23 0.457 0.371 0.293
O24 0.457 0.586 0.164
O25 0.543 0.414 0.836
O26 0.543 0.629 0.707
O27 0.578 0.164 0.207
O28 0.578 0.914 0.371
O29 0.586 0.164 0.457
O30 0.586 0.922 0.129
O31 0.629 0.422 0.086
O32 0.629 0.707 0.543
O33 0.664 0.078 0.707
O34 0.664 0.086 0.957
O35 0.707 0.543 0.629
O36 0.707 0.664 0.078
O37 0.793 0.422 0.836
O38 0.793 0.871 0.957
O39 0.836 0.543 0.414
O40 0.836 0.793 0.422
O41 0.871 0.414 0.078
O42 0.871 0.957 0.793
O43 0.914 0.043 0.336
O44 0.914 0.371 0.578
O45 0.922 0.129 0.586
O46 0.922 0.293 0.336
O47 0.957 0.664 0.086
O48 0.957 0.793 0.871

# 5
DFT (PBE) results for an optimized crystal structure of SrGd2O4.

Computed properties:
- Space-group type: Pnma
- Crystal system: orthorhombic
- Raw formation energy: -3.251 eV per atom

a = 10.249 Å, b = 3.486 Å, c = 12.149 Å
α = 90.00°, β = 90.00°, γ = 90.00°
Fractional coordinates of all 28 atoms:
Sr1 0.247 0.250 0.148
Sr2 0.253 0.750 0.648
Sr3 0.747 0.250 0.352
Sr4 0.753 0.750 0.852
Gd1 0.076 0.250 0.888
Gd2 0.079 0.250 0.388
Gd3 0.421 0.750 0.888
Gd4 0.424 0.750 0.388
Gd5 0.576 0.250 0.612
Gd6 0.579 0.250 0.112
Gd7 0.921 0.750 0.612
Gd8 0.924 0.750 0.112
O1 0.012 0.750 0.784
O2 0.074 0.250 0.578
O3 0.128 0.750 0.020
O4 0.213 0.750 0.321
O5 0.287 0.250 0.821
O6 0.372 0.250 0.520
O7 0.426 0.750 0.078
O8 0.488 0.250 0.284
O9 0.512 0.750 0.716
O10 0.574 0.250 0.922
O11 0.628 0.750 0.480
O12 0.713 0.750 0.179
O13 0.787 0.250 0.679
O14 0.872 0.250 0.980
O15 0.926 0.750 0.422
O16 0.988 0.250 0.216

# 6
DFT (PBE) results for an optimized crystal structure of Sr2GdO.

Computed properties:
- Space-group type: R-3m
- Crystal system: trigonal
- Raw formation energy: -1.077 eV per atom

a = 3.683 Å, b = 3.683 Å, c = 30.368 Å
α = 90.00°, β = 90.00°, γ = 120.00°
Fractional coordinates of all 12 atoms:
Sr1 0.000 0.000 0.117
Sr2 0.000 0.000 0.883
Sr3 0.333 0.667 0.550
Sr4 0.333 0.667 0.784
Sr5 0.667 0.333 0.216
Sr6 0.667 0.333 0.450
Gd1 0.000 0.000 0.000
Gd2 0.333 0.667 0.667
Gd3 0.667 0.333 0.333
O1 0.000 0.000 0.500
O2 0.333 0.667 0.167
O3 0.667 0.333 0.833

# 7
DFT (PBE) results for an optimized crystal structure of SrGd2O.

Computed properties:
- Space-group type: R-3m
- Crystal system: trigonal
- Raw formation energy: -1.142 eV per atom

a = 3.641 Å, b = 3.641 Å, c = 28.959 Å
α = 90.00°, β = 90.00°, γ = 120.00°
Fractional coordinates of all 12 atoms:
Sr1 0.000 0.000 0.000
Sr2 0.333 0.667 0.667
Sr3 0.667 0.333 0.333
Gd1 0.000 0.000 0.122
Gd2 0.000 0.000 0.878
Gd3 0.333 0.667 0.545
Gd4 0.333 0.667 0.788
Gd5 0.667 0.333 0.212
Gd6 0.667 0.333 0.455
O1 0.000 0.000 0.500
O2 0.333 0.667 0.167
O3 0.667 0.333 0.833

# 8
DFT (PBE) results for an optimized crystal structure of Sr2GdTaO6.

Computed properties:
- Space-group type: P2_1/c
- Crystal system: monoclinic
- Raw formation energy: -3.148 eV per atom

a = 5.873 Å, b = 5.982 Å, c = 10.196 Å
α = 90.00°, β = 124.93°, γ = 90.00°
Fractional coordinates of all 20 atoms:
Sr1 0.241 0.040 0.251
Sr2 0.241 0.460 0.751
Sr3 0.759 0.540 0.249
Sr4 0.759 0.960 0.749
Gd1 0.500 0.000 0.000
Gd2 0.500 0.500 0.500
Ta1 0.000 0.000 0.500
Ta2 0.000 0.500 0.000
O1 0.141 0.226 0.951
O2 0.141 0.274 0.451
O3 0.231 0.693 0.957
O4 0.231 0.807 0.457
O5 0.319 0.028 0.732
O6 0.319 0.472 0.232
O7 0.681 0.528 0.768
O8 0.681 0.972 0.268
O9 0.769 0.193 0.543
O10 0.769 0.307 0.043
O11 0.859 0.726 0.549
O12 0.859 0.774 0.049

# 9
DFT (PBE) results for an optimized crystal structure of SrGdZrTiO6.

Computed properties:
- Space-group type: F-43m
- Crystal system: cubic
- Raw formation energy: -3.063 eV per atom

a = 5.733 Å, b = 5.733 Å, c = 5.733 Å
α = 60.00°, β = 60.00°, γ = 60.00°
Fractional coordinates of all 10 atoms:
Sr1 0.000 0.000 0.000
Gd1 0.500 0.500 0.500
Zr1 0.750 0.750 0.750
Ti1 0.250 0.250 0.250
O1 0.007 0.007 0.493
O2 0.007 0.493 0.007
O3 0.007 0.493 0.493
O4 0.493 0.007 0.007
O5 0.493 0.007 0.493
O6 0.493 0.493 0.007

# 10
DFT (PBE) results for an optimized crystal structure of Gd3TaO7.

Computed properties:
- Energy above the most stable polymorph in this dataset: 7.6 meV per atom
- Space-group type: Pnma
- Crystal system: orthorhombic
- Raw formation energy: -3.352 eV per atom

a = 7.543 Å, b = 10.742 Å, c = 7.636 Å
α = 90.00°, β = 90.00°, γ = 90.00°
Fractional coordinates of all 44 atoms:
Gd1 0.014 0.250 0.206
Gd2 0.248 0.021 0.536
Gd3 0.248 0.479 0.536
Gd4 0.252 0.521 0.036
Gd5 0.252 0.979 0.036
Gd6 0.486 0.750 0.706
Gd7 0.514 0.250 0.294
Gd8 0.748 0.021 0.964
Gd9 0.748 0.479 0.964
Gd10 0.752 0.521 0.464
Gd11 0.752 0.979 0.464
Gd12 0.986 0.750 0.794
Ta1 0.002 0.250 0.750
Ta2 0.498 0.750 0.250
Ta3 0.502 0.250 0.750
Ta4 0.998 0.750 0.250
O1 0.036 0.126 0.952
O2 0.036 0.374 0.952
O3 0.041 0.612 0.410
O4 0.041 0.888 0.410
O5 0.243 0.617 0.769
O6 0.243 0.883 0.769
O7 0.248 0.250 0.670
O8 0.252 0.750 0.170
O9 0.257 0.117 0.269
O10 0.257 0.383 0.269
O11 0.459 0.112 0.910
O12 0.459 0.388 0.910
O13 0.464 0.626 0.452
O14 0.464 0.874 0.452
O15 0.536 0.126 0.548
O16 0.536 0.374 0.548
O17 0.541 0.612 0.090
O18 0.541 0.888 0.090
O19 0.743 0.617 0.731
O20 0.743 0.883 0.731
O21 0.748 0.250 0.830
O22 0.752 0.750 0.330
O23 0.757 0.117 0.231
O24 0.757 0.383 0.231
O25 0.959 0.112 0.590
O26 0.959 0.388 0.590
O27 0.964 0.626 0.048
O28 0.964 0.874 0.048

# 11
DFT (PBE) results for an optimized crystal structure of GdTaO4.

Computed properties:
- Space-group type: C2/c
- Crystal system: monoclinic
- Raw formation energy: -3.223 eV per atom

a = 6.636 Å, b = 6.636 Å, c = 5.126 Å
α = 110.27°, β = 110.27°, γ = 115.28°
Fractional coordinates of all 12 atoms:
Gd1 0.132 0.868 0.750
Gd2 0.868 0.132 0.250
Ta1 0.400 0.600 0.250
Ta2 0.600 0.400 0.750
O1 0.138 0.554 0.341
O2 0.228 0.291 0.792
O3 0.291 0.228 0.292
O4 0.446 0.862 0.159
O5 0.554 0.138 0.841
O6 0.709 0.772 0.708
O7 0.772 0.709 0.208
O8 0.862 0.446 0.659

# 12
DFT (PBE) results for an optimized crystal structure of GdTa3O9.

Computed properties:
- Energy above the most stable polymorph in this dataset: 0.0 meV per atom
- Space-group type: P2_1/m
- Crystal system: monoclinic
- Raw formation energy: -3.026 eV per atom

a = 5.360 Å, b = 7.556 Å, c = 8.316 Å
α = 90.00°, β = 92.45°, γ = 90.00°
Fractional coordinates of all 26 atoms:
Gd1 0.035 0.250 0.435
Gd2 0.965 0.750 0.565
Ta1 0.000 0.000 0.000
Ta2 0.000 0.500 0.000
Ta3 0.472 0.007 0.697
Ta4 0.472 0.493 0.697
Ta5 0.528 0.507 0.303
Ta6 0.528 0.993 0.303
O1 0.091 0.250 0.980
O2 0.152 0.561 0.786
O3 0.152 0.939 0.786
O4 0.261 0.541 0.468
O5 0.261 0.959 0.468
O6 0.322 0.551 0.122
O7 0.322 0.949 0.122
O8 0.343 0.250 0.657
O9 0.429 0.250 0.314
O10 0.571 0.750 0.686
O11 0.657 0.750 0.343
O12 0.678 0.051 0.878
O13 0.678 0.449 0.878
O14 0.739 0.041 0.532
O15 0.739 0.459 0.532
O16 0.848 0.061 0.214
O17 0.848 0.439 0.214
O18 0.909 0.750 0.020

# 13
DFT (PBE) results for an optimized crystal structure of GdTa3O9.

Computed properties:
- Energy above the most stable polymorph in this dataset: 22.7 meV per atom
- Space-group type: Pnma
- Crystal system: orthorhombic
- Raw formation energy: -3.003 eV per atom

a = 6.504 Å, b = 7.675 Å, c = 12.634 Å
α = 90.00°, β = 90.00°, γ = 90.00°
Fractional coordinates of all 52 atoms:
Gd1 0.057 0.250 0.033
Gd2 0.443 0.750 0.533
Gd3 0.557 0.250 0.467
Gd4 0.943 0.750 0.967
Ta1 0.000 0.000 0.500
Ta2 0.000 0.500 0.500
Ta3 0.204 0.002 0.787
Ta4 0.204 0.498 0.787
Ta5 0.296 0.502 0.287
Ta6 0.296 0.998 0.287
Ta7 0.500 0.000 0.000
Ta8 0.500 0.500 0.000
Ta9 0.704 0.002 0.713
Ta10 0.704 0.498 0.713
Ta11 0.796 0.502 0.213
Ta12 0.796 0.998 0.213
O1 0.016 0.041 0.657
O2 0.016 0.459 0.657
O3 0.070 0.750 0.525
O4 0.104 0.034 0.168
O5 0.104 0.466 0.168
O6 0.167 0.250 0.827
O7 0.201 0.750 0.806
O8 0.206 0.530 0.963
O9 0.206 0.970 0.963
O10 0.294 0.030 0.463
O11 0.294 0.470 0.463
O12 0.299 0.250 0.306
O13 0.333 0.750 0.327
O14 0.396 0.534 0.668
O15 0.396 0.966 0.668
O16 0.430 0.250 0.025
O17 0.484 0.541 0.157
O18 0.484 0.959 0.157
O19 0.516 0.041 0.843
O20 0.516 0.459 0.843
O21 0.570 0.750 0.975
O22 0.604 0.034 0.332
O23 0.604 0.466 0.332
O24 0.667 0.250 0.673
O25 0.701 0.750 0.694
O26 0.706 0.530 0.537
O27 0.706 0.970 0.537
O28 0.794 0.030 0.037
O29 0.794 0.470 0.037
O30 0.799 0.250 0.194
O31 0.833 0.750 0.173
O32 0.896 0.534 0.832
O33 0.896 0.966 0.832
O34 0.930 0.250 0.475
O35 0.984 0.541 0.343
O36 0.984 0.959 0.343

# 14
DFT (PBE) results for an optimized crystal structure of GdTaO4.

Computed properties:
- Space-group type: P2/c
- Crystal system: monoclinic
- Raw formation energy: -3.229 eV per atom

a = 5.204 Å, b = 5.583 Å, c = 5.394 Å
α = 90.00°, β = 96.73°, γ = 90.00°
Fractional coordinates of all 12 atoms:
Gd1 0.000 0.232 0.250
Gd2 0.000 0.768 0.750
Ta1 0.500 0.311 0.750
Ta2 0.500 0.689 0.250
O1 0.252 0.090 0.605
O2 0.252 0.910 0.105
O3 0.272 0.435 0.996
O4 0.272 0.565 0.496
O5 0.728 0.435 0.504
O6 0.728 0.565 0.004
O7 0.748 0.090 0.895
O8 0.748 0.910 0.395